Y3Pd2Au4 | GGA-PBE | relaxed

## Properties
**Space-group type**: C2/c
**DOS at the Fermi energy**: 7.3 states/eV per cell
**Calculated formation energy**: -0.786 eV/atom
**ρ**: 11.3 Mg/m³
**Spin magnetization**: 0.0 μB per formula unit

abc: 8.691 8.691 5.251
angles: 98.80 98.80 73.55
Fractional positions:
Y 0.117 0.883 0.750
Y 0.205 0.464 0.915
Y 0.464 0.205 0.415
Y 0.536 0.795 0.585
Y 0.795 0.536 0.085
Y 0.883 0.117 0.250
Pd 0.014 0.764 0.192
Pd 0.236 0.986 0.308
Pd 0.764 0.014 0.692
Pd 0.986 0.236 0.808
Au 0.104 0.339 0.356
Au 0.311 0.577 0.471
Au 0.339 0.104 0.856
Au 0.423 0.689 0.029
Au 0.577 0.311 0.971
Au 0.661 0.896 0.144
Au 0.689 0.423 0.529
Au 0.896 0.661 0.644



InSiAu | GGA-PBE | relaxed

## Properties
**Space-group type**: Imma
**DOS at the Fermi energy**: 2.3 states/eV per cell
**ρ**: 8.3 Mg/m³
**Spin magnetization**: 0.0 μB per formula unit
**Formation energy from raw total energies**: -0.033 eV/atom

abc: 6.264 6.264 6.264
angles: 143.61 106.39 85.00
Fractional positions:
In 0.364 0.114 0.250
In 0.636 0.886 0.750
Si 0.072 0.322 0.750
Si 0.928 0.678 0.250
Au 0.000 0.500 0.500
Au 0.500 0.500 0.000



Th8Fe2Os | GGA-PBE | relaxed

## Properties
**Space-group type**: Cm
**DOS at the Fermi energy**: 14.9 states/eV per cell
**Calculated formation energy**: 0.007 eV/atom
**ρ**: 11.9 Mg/m³
**Spin magnetization**: 0.0 μB per formula unit

abc: 7.708 7.708 6.222
angles: 100.53 100.53 119.16
Fractional positions:
Th 0.000 0.000 0.000
Th 0.168 0.579 0.186
Th 0.248 0.982 0.573
Th 0.456 0.714 0.795
Th 0.579 0.168 0.186
Th 0.706 0.706 0.361
Th 0.714 0.456 0.795
Th 0.982 0.248 0.573
Fe 0.032 0.634 0.680
Fe 0.634 0.032 0.680
Os 0.349 0.349 0.961